[1]
{"formula": "LiBPd3", "functional": "SCAN", "state": "single point on PBEsol structure", "formation_energy_mev_per_atom": -399, "e_tot_ha_per_atom": -0.8095, "space_group": "Pm-3m (221)", "cell": [[-3.8036, 0.6323, 1.3703], [-1.1953, -3.5306, -1.6886], [0.9213, -1.9698, 3.4664]], "species": ["B", "Pd", "Pd", "Pd", "Li"], "frac_coords": [[0.0000, 0.0000, 0.0000], [0.0000, 0.5000, 0.0000], [0.0000, 0.0000, 0.5000], [0.5000, 0.0000, 0.0000], [0.5000, 0.5000, 0.5000]]}



[2]
{"formula": "SrCaH2", "functional": "SCAN", "state": "single point on PBEsol structure", "e_tot_ha_per_atom": -0.3682, "space_group": "I-42d (122)", "cell": [[-5.3368, 1.0658, 0.9740], [-1.4380, -4.2582, -3.2195], [3.5175, -1.7783, 5.5279]], "species": ["Sr", "Sr", "Ca", "Ca", "H", "H", "H", "H"], "frac_coords": [[0.2500, 0.7500, 0.5000], [0.0000, 0.0000, 0.0000], [0.7500, 0.2500, 0.5000], [0.5000, 0.5000, 0.0000], [0.8520, 0.3750, 0.2500], [0.3980, 0.8750, 0.2500], [0.6250, 0.6020, 0.7500], [0.1250, 0.1480, 0.7500]]}



[3]
{"formula": "Ca2SbAs2", "functional": "SCAN", "state": "single point on PBEsol structure", "formation_energy_uncorrected_mev_per_atom": -882, "e_tot_ha_per_atom": -0.7451, "space_group": "P4/mbm (127)", "cell": [[-0.7313, 3.3982, -2.0763], [-5.4934, 1.9169, 5.0723], [5.2401, 3.7332, 4.2643]], "species": ["Sb", "Sb", "As", "As", "As", "As", "Ca", "Ca", "Ca", "Ca"], "frac_coords": [[0.0000, 0.0000, 0.0000], [0.0000, 0.5000, 0.5000], [0.0000, 0.3478, 0.8478], [0.0000, 0.8478, 0.6522], [0.0000, 0.6522, 0.1522], [0.0000, 0.1522, 0.3478], [0.5000, 0.1541, 0.6541], [0.5000, 0.6541, 0.8459], [0.5000, 0.8459, 0.3459], [0.5000, 0.3459, 0.1541]]}



[4]
{"formula": "Ba2HgMo", "functional": "SCAN", "state": "single point on PBEsol structure", "formation_energy_mev_per_atom": 739, "e_tot_ha_per_atom": -1.6463, "space_group": "R-3m (166)", "cell": [[-2.3204, -2.8097, 0.2707], [-0.8089, -1.3919, 3.2802], [-9.0283, 5.2774, 2.0482]], "species": ["Ba", "Ba", "Hg", "Mo"], "frac_coords": [[0.2560, 0.2560, 0.2320], [0.7440, 0.7440, 0.7680], [0.5000, 0.5000, 0.5000], [0.0000, 0.0000, 0.0000]]}



[5]
{"formula": "MoPSe", "functional": "SCAN", "state": "single point on PBEsol structure", "formation_energy_uncorrected_mev_per_atom": 91, "e_tot_ha_per_atom": -0.7973, "space_group": "F-43m (216)", "cell": [[4.2418, 0.0000, 0.0000], [2.1209, 3.6735, 0.0000], [2.1209, 1.2245, 3.4634]], "species": ["P", "Mo", "Se"], "frac_coords": [[0.0000, 0.0000, 0.0000], [0.7500, 0.7500, 0.7500], [0.5000, 0.5000, 0.5000]]}



[6]
{"formula": "ReTe3", "functional": "SCAN", "state": "single point on PBEsol structure", "e_above_lowest_polymorph_mev_per_atom": 220, "formation_energy_uncorrected_mev_per_atom": 502, "e_tot_ha_per_atom": -1.6615, "space_group": "P2/m (10)", "cell": [[2.9971, 0.0000, -0.3749], [0.0000, 3.1546, 0.0000], [-1.6370, 0.0000, 10.9906]], "species": ["Re", "Te", "Te", "Te"], "frac_coords": [[0.0000, 0.0000, 0.0000], [0.8024, 0.5000, 0.8012], [0.0000, 0.0000, 0.5000], [0.1976, 0.5000, 0.1988]]}



[7]
{"formula": "Ca2BP", "functional": "SCAN", "state": "single point on PBEsol structure", "formation_energy_mev_per_atom": -57, "e_above_lowest_polymorph_mev_per_atom": 0, "e_tot_ha_per_atom": -0.3435, "space_group": "Fm-3m (225)", "cell": [[4.7528, 0.0000, 0.0000], [2.3764, 4.1161, 0.0000], [2.3764, 1.3720, 3.8807]], "species": ["P", "Ca", "Ca", "B"], "frac_coords": [[0.5000, 0.5000, 0.5000], [0.2500, 0.2500, 0.2500], [0.7500, 0.7500, 0.7500], [0.0000, 0.0000, 0.0000]]}



[8]
{"formula": "CoSbTe2P", "functional": "SCAN", "state": "single point on PBEsol structure", "formation_energy_uncorrected_mev_per_atom": 730, "e_tot_ha_per_atom": -0.9982, "space_group": "P4/mmm (123)", "cell": [[-3.1059, 1.3077, 3.3091], [-1.5301, -4.6718, 0.4100], [3.3867, -0.8025, 3.4959]], "species": ["Sb", "Te", "Te", "Co", "P"], "frac_coords": [[0.5000, 0.0000, 0.0000], [0.0000, 0.0000, 0.5000], [0.0000, 0.5000, 0.0000], [0.0000, 0.0000, 0.0000], [0.5000, 0.5000, 0.5000]]}



[9]
{"formula": "GdPO4", "functional": "SCAN", "state": "single point on PBEsol structure", "formation_energy_uncorrected_mev_per_atom": -3276, "e_tot_ha_per_atom": -0.6970, "space_group": "P2_1/c (14)", "cell": [[6.3092, 0.0090, 0.0000], [-1.6315, 6.4379, 0.0000], [0.0000, 0.0000, 6.8307]], "species": ["Gd", "Gd", "Gd", "Gd", "P", "P", "P", "P", "O", "O", "O", "O", "O", "O", "O", "O", "O", "O", "O", "O", "O", "O", "O", "O"], "frac_coords": [[0.5961, 0.7821, 0.6539], [0.9039, 0.7179, 0.1539], [0.4039, 0.2179, 0.3461], [0.0961, 0.2821, 0.8461], [0.1129, 0.8023, 0.6609], [0.3871, 0.6977, 0.1609], [0.8871, 0.1977, 0.3391], [0.6129, 0.3023, 0.8391], [0.2134, 0.6191, 0.7097], [0.2866, 0.8809, 0.2097], [0.7866, 0.3809, 0.2903], [0.7134, 0.1191, 0.7903], [0.3165, 0.9730, 0.6010], [0.1835, 0.5270, 0.1010], [0.6835, 0.0270, 0.3990], [0.8165, 0.4730, 0.8990], [0.4344, 0.2513, 0.9989], [0.0656, 0.2487, 0.4989], [0.5656, 0.7487, 0.0011], [0.9344, 0.7513, 0.5011], [0.5023, 0.3844, 0.6629], [0.9977, 0.1156, 0.1629], [0.4977, 0.6156, 0.3371], [0.0023, 0.8844, 0.8371]]}



[10]
{"formula": "CdAg2Au", "functional": "SCAN", "state": "single point on PBEsol structure", "formation_energy_mev_per_atom": -43, "e_tot_ha_per_atom": -1.4927, "space_group": "R-3m (166)", "cell": [[2.9275, 0.0000, 0.0000], [1.4637, 2.5353, 0.0000], [1.4637, 0.8451, 9.3454]], "species": ["Au", "Ag", "Ag", "Cd"], "frac_coords": [[0.5000, 0.5000, 0.5000], [0.2488, 0.2488, 0.2536], [0.7512, 0.7512, 0.7464], [0.0000, 0.0000, 0.0000]]}



[11]
{"formula": "LiMnCr2", "functional": "SCAN", "state": "single point on PBEsol structure", "formation_energy_mev_per_atom": 448, "e_above_lowest_polymorph_mev_per_atom": 0, "e_tot_ha_per_atom": -0.5110, "space_group": "P4mm (99)", "cell": [[2.3136, 0.0000, 0.0000], [0.0000, 2.3136, 0.0000], [0.0000, 0.0000, 8.5955]], "species": ["Cr", "Cr", "Li", "Mn"], "frac_coords": [[0.0000, 0.0000, 0.9955], [0.5000, 0.5000, 0.2367], [0.0000, 0.0000, 0.5064], [0.5000, 0.5000, 0.7614]]}



[12]
{"formula": "CaB6O10", "functional": "SCAN", "state": "single point on PBEsol structure", "formation_energy_uncorrected_mev_per_atom": -2770, "e_tot_ha_per_atom": -0.3537, "space_group": "P2_1/c (14)", "cell": [[8.7366, 0.0000, 0.0000], [0.0000, 9.8254, -0.0125], [0.0000, -4.1127, 8.1426]], "species": ["Ca", "Ca", "Ca", "Ca", "B", "B", "B", "B", "B", "B", "B", "B", "B", "B", "B", "B", "B", "B", "B", "B", "B", "B", "B", "B", "B", "B", "B", "B", "O", "O", "O", "O", "O", "O", "O", "O", "O", "O", "O", "O", "O", "O", "O", "O", "O", "O", "O", "O", "O", "O", "O", "O", "O", "O", "O", "O", "O", "O", "O", "O", "O", "O", "O", "O", "O", "O", "O", "O"], "frac_coords": [[0.1158, 0.7800, 0.0368], [0.3842, 0.7800, 0.5368], [0.8842, 0.2200, 0.9632], [0.6158, 0.2200, 0.4632], [0.2642, 0.0817, 0.8773], [0.7642, 0.9183, 0.6227], [0.2295, 0.5029, 0.4394], [0.0244, 0.9176, 0.7364], [0.1199, 0.5574, 0.2184], [0.4434, 0.3250, 0.7522], [0.9694, 0.7819, 0.4382], [0.7295, 0.4971, 0.0606], [0.5244, 0.0824, 0.7636], [0.2705, 0.5029, 0.9394], [0.2358, 0.0817, 0.3773], [0.9756, 0.0824, 0.2636], [0.9434, 0.6750, 0.7478], [0.7358, 0.9183, 0.1227], [0.8801, 0.4426, 0.7816], [0.5566, 0.6750, 0.2478], [0.4694, 0.2181, 0.0618], [0.6199, 0.4426, 0.2816], [0.4756, 0.9176, 0.2364], [0.3801, 0.5574, 0.7184], [0.0306, 0.2181, 0.5618], [0.7705, 0.4971, 0.5606], [0.5306, 0.7819, 0.9382], [0.0566, 0.3250, 0.2522], [0.9691, 0.1956, 0.1971], [0.3115, 0.5720, 0.5803], [0.0309, 0.8044, 0.8029], [0.6337, 0.9773, 0.2511], [0.3886, 0.0507, 0.3508], [0.8594, 0.6258, 0.6042], [0.3168, 0.1704, 0.0340], [0.1337, 0.0227, 0.2489], [0.1832, 0.1704, 0.5340], [0.5054, 0.3199, 0.2189], [0.1114, 0.0507, 0.8508], [0.8168, 0.8296, 0.4660], [0.8115, 0.4280, 0.9197], [0.0501, 0.4047, 0.1620], [0.6832, 0.8296, 0.9660], [0.7321, 0.4205, 0.1543], [0.2679, 0.5795, 0.8457], [0.1885, 0.5720, 0.0803], [0.8663, 0.9773, 0.7511], [0.5309, 0.1956, 0.6971], [0.4691, 0.8044, 0.3029], [0.5764, 0.1560, 0.9355], [0.2321, 0.5795, 0.3457], [0.5501, 0.5953, 0.3380], [0.4236, 0.8440, 0.0645], [0.3663, 0.0227, 0.7489], [0.6114, 0.9493, 0.6492], [0.1406, 0.3742, 0.3958], [0.6406, 0.6258, 0.1042], [0.8886, 0.9493, 0.1492], [0.0764, 0.8440, 0.5645], [0.7679, 0.4205, 0.6543], [0.4946, 0.6801, 0.7811], [0.3594, 0.3742, 0.8958], [0.9236, 0.1560, 0.4355], [0.6885, 0.4280, 0.4197], [0.9499, 0.5953, 0.8380], [0.0054, 0.6801, 0.2811], [0.9946, 0.3199, 0.7189], [0.4499, 0.4047, 0.6620]]}